Entry 1:
HfTi2Cd: relaxed, PBE. Values from VASP.

Quantum ESPRESSO input file:
```
&SYSTEM
  ibrav = 0, nat = 4, ntyp = 3
/
ATOMIC_SPECIES
Ti 47.87 Ti.upf
Hf 178.49 Hf.upf
Cd 112.41 Cd.upf
ATOMIC_POSITIONS crystal
Ti 0.000 0.000 0.500
Ti 0.000 0.500 0.000
Hf 0.500 0.000 0.000
Cd 0.500 0.500 0.500
CELL_PARAMETERS angstrom
4.205 0.000 0.000
0.000 4.259 0.000
0.000 0.000 4.259
```

## Properties
Total magnetization in μB/cell: 0.00
Energy of formation in kJ per mole of atoms: 5
Space group: No. 123
DOS(E_F) in states/eV per atom: 1.2345
DFT total energy in eV per atom: -6.62

Entry 2:
CoWN2: relaxed, PBE. Values from VASP.

Quantum ESPRESSO input file:
```
&SYSTEM
  ibrav = 0, nat = 4, ntyp = 3
/
ATOMIC_SPECIES
Co 58.93 Co.upf
W 183.84 W.upf
N 14.01 N.upf
ATOMIC_POSITIONS crystal
Co 0.000 0.000 0.000
W 0.500 0.500 0.500
N 0.250 0.250 0.250
N 0.750 0.750 0.750
CELL_PARAMETERS angstrom
0.000 2.615 2.615
2.615 0.000 2.615
2.615 2.615 0.000
```

## Properties
Total magnetization in μB/cell: 0.92
Space group: No. 225
DOS(E_F) in states/eV per atom: 0.5475
DFT total energy in eV per atom: -8.60

Entry 3:
Nd4SiAuI2: relaxed, PBE. Values from VASP.

Quantum ESPRESSO input file:
```
&SYSTEM
  ibrav = 0, nat = 8, ntyp = 4
/
ATOMIC_SPECIES
Nd 144.24 Nd.upf
Si 28.09 Si.upf
Au 196.97 Au.upf
I 126.90 I.upf
ATOMIC_POSITIONS crystal
Nd 0.500 0.226 0.205
Nd 0.500 0.774 0.795
Nd 0.000 0.263 0.797
Nd 0.000 0.737 0.203
Si 0.000 0.000 0.000
Au 0.500 0.500 0.000
I 0.500 0.000 0.500
I 0.000 0.500 0.500
CELL_PARAMETERS angstrom
-3.830 1.707 0.837
-0.634 -4.513 6.304
3.507 6.753 2.278
```

## Properties
Total magnetization in μB/cell: 0.00
Space group: No. 10
DOS(E_F) in states/eV per atom: 0.7885
DFT total energy in eV per atom: -4.73

Entry 4:
LiCrTc2: relaxed, PBE. Values from VASP.

Quantum ESPRESSO input file:
```
&SYSTEM
  ibrav = 0, nat = 4, ntyp = 3
/
ATOMIC_SPECIES
Cr 52.00 Cr.upf
Li 6.94 Li.upf
Tc 98.00 Tc.upf
ATOMIC_POSITIONS crystal
Cr 0.000 0.000 0.485
Li 0.500 0.500 0.746
Tc 0.000 0.000 0.007
Tc 0.500 0.500 0.262
CELL_PARAMETERS angstrom
2.607 -0.007 0.000
-0.946 2.429 0.000
0.000 0.000 8.947
```

## Properties
Total magnetization in μB/cell: 0.00
Energy of formation in kJ per mole of atoms: 31
Space group: No. 35
DOS(E_F) in states/eV per atom: 1.1104
DFT total energy in eV per atom: -7.75